Entry from Alexandria: a relaxed structure of TbSm6In4 (PBE).

It has space group I-42m (No. 121), with a = 7.859 Å, b = 7.859 Å, c = 11.930 Å, α = 90.00°, β = 90.00° and γ = 90.00°. The inequivalent atoms are Tb at (0.000, 0.000, 0.000), Sm at (0.000, 0.500, 0.000), Sm at (0.188, 0.188, 0.283) and In at (0.163, 0.163, 0.566).

For the calculated density, the calculation gives 6.9 g/cm³. Its magnetic moment is 0.000 μB per atom. Its calculated total energy is -4.1149 eV per atom. Its formation energy is -0.12 eV per atom.


Entry from Alexandria: a relaxed structure of ZrCuBr (PBE).

It has space group P3m1 (No. 156), with a = 3.4062 Å, b = 3.4062 Å, c = 7.3087 Å, α = 90.00°, β = 90.00° and γ = 120.00°. The inequivalent atoms are Zr at (0.0000, 0.0000, 0.0000), Cu at (0.6667, 0.3333, 0.7449) and Br at (0.3333, 0.6667, 0.2670).

For the calculated density, the calculation gives 5.3 g/cm³. Its magnetic moment is 0.000 μB per atom. Its calculated total energy is -5.0534 eV per atom. The uncorrected formation energy comes out at -281 meV per atom.


Entry from Alexandria: a relaxed structure of SiPt2Au (PBE).

It has space group P4mm (No. 99), with a = 3.065 Å, b = 3.065 Å, c = 6.735 Å, α = 90.00°, β = 90.00° and γ = 90.00°. The inequivalent atoms are Si at (0.000, 0.000, 0.000), Pt at (0.000, 0.000, 0.538), Pt at (0.500, 0.500, 0.818) and Au at (0.500, 0.500, 0.259).

For the calculated density, the calculation gives 16.1 g/cm³. Its magnetic moment is 0.000 μB per atom. Its calculated total energy is -5.2813 eV per atom. The uncorrected formation energy comes out at -86 meV per atom.


Entry from Alexandria: a relaxed structure of La3Tb2In4 (PBE).

It has space group C2/m (No. 12), with a = 12.080 Å, b = 5.147 Å, c = 10.177 Å, α = 90.00°, β = 120.04° and γ = 90.00°. The inequivalent atoms are La at (0.000, 0.000, 0.000), La at (0.148, 0.500, 0.682), Tb at (0.141, 0.500, 0.307), In at (0.059, 0.000, 0.397) and In at (0.200, 0.500, 0.036).

For the calculated density, the calculation gives 7.2 g/cm³. Its magnetic moment is 0.000 μB per atom. Its calculated total energy is -4.2848 eV per atom. Its formation energy is -0.40 eV per atom.


Entry from Alexandria: a relaxed structure of ZrS2O (PBE).

It has space group Fm-3m (No. 225), with a = 6.259 Å, b = 6.259 Å, c = 6.259 Å, α = 90.00°, β = 90.00° and γ = 90.00°. The inequivalent atoms are Zr at (0.000, 0.000, 0.000), S at (0.250, 0.250, 0.250) and O at (0.000, 0.000, 0.500).

For the calculated density, the calculation gives 4.6 g/cm³. Its magnetic moment is 0.350 μB per atom. Its calculated total energy is -5.8438 eV per atom. The uncorrected formation energy comes out at -404 meV per atom.


Entry from Alexandria: a relaxed structure of VNi3Hg (PBE).

It has space group Pm-3m (No. 221), with a = 4.339 Å, b = 4.339 Å, c = 4.339 Å, α = 90.00°, β = 90.00° and γ = 90.00°. The inequivalent atoms are V at (0.000, 0.000, 0.000), Ni at (0.000, 0.000, 0.500) and Hg at (0.500, 0.500, 0.500).

For the calculated density, the calculation gives 8.7 g/cm³. Its magnetic moment is 0.116 μB per atom. Its calculated total energy is -4.4063 eV per atom. Its formation energy is 0.95 eV per atom.


Entry from Alexandria: a relaxed structure of PuMgTlAg (PBE).

It has space group F-43m (No. 216), with a = 7.272 Å, b = 7.272 Å, c = 7.272 Å, α = 90.00°, β = 90.00° and γ = 90.00°. The inequivalent atoms are Pu at (0.000, 0.000, 0.000), Mg at (0.000, 0.000, 0.500), Tl at (0.250, 0.250, 0.750) and Ag at (0.250, 0.250, 0.250).

For the calculated density, the calculation gives 10.0 g/cm³. Its magnetic moment is 1.412 μB per atom. Its calculated total energy is -5.3185 eV per atom. Its formation energy is -0.03 eV per atom.


Entry from Alexandria: a relaxed structure of Ac2PrNd (PBE).

It has space group R-3m (No. 166, hexagonal axes), with a = 3.8743 Å, b = 3.8743 Å, c = 37.0082 Å, α = 90.00°, β = 90.00° and γ = 120.00°. The inequivalent atoms are Ac at (0.0000, 0.0000, 0.2504), Pr at (0.0000, 0.0000, 0.5000) and Nd at (0.0000, 0.0000, 0.0000).

For the calculated density, the calculation gives 7.7 g/cm³. Its magnetic moment is 0.000 μB per atom. Its calculated total energy is -4.4174 eV per atom. Its formation energy is 0.02 eV per atom.


Entry from Alexandria: a relaxed structure of Tl2AgH6Ir (PBE).

It has space group P-3m1 (No. 164), with a = 5.4808 Å, b = 5.4808 Å, c = 5.3977 Å, α = 90.00°, β = 90.00° and γ = 120.00°. The inequivalent atoms are Tl at (0.3333, 0.6667, 0.2643), Ag at (0.0000, 0.0000, 0.5000), H at (0.1506, 0.3012, 0.8327) and Ir at (0.0000, 0.0000, 0.0000).

For the calculated density, the calculation gives 8.5 g/cm³. Its magnetic moment is 0.000 μB per atom. Its calculated total energy is -3.6258 eV per atom.


Entry from Alexandria: a relaxed structure of CeDyAl4 (PBE).

It has space group F-43m (No. 216), with a = 7.915 Å, b = 7.915 Å, c = 7.915 Å, α = 90.00°, β = 90.00° and γ = 90.00°. The inequivalent atoms are Ce at (0.000, 0.000, 0.000), Dy at (0.250, 0.250, 0.250) and Al at (0.125, 0.125, 0.625).

For the calculated density, the calculation gives 5.5 g/cm³. Its magnetic moment is 0.091 μB per atom. Its calculated total energy is -4.7134 eV per atom. Its formation energy is -0.46 eV per atom.


Entry from Alexandria: a relaxed structure of MnSbI2N (PBE).

It has space group P4/mmm (No. 123), with a = 4.880 Å, b = 4.880 Å, c = 4.997 Å, α = 90.00°, β = 90.00° and γ = 90.00°. The inequivalent atoms are Mn at (0.000, 0.000, 0.000), Sb at (0.500, 0.500, 0.000), I at (0.000, 0.500, 0.500) and N at (0.500, 0.500, 0.500).

For the calculated density, the calculation gives 6.2 g/cm³. Its magnetic moment is 0.946 μB per atom. Its calculated total energy is -3.8993 eV per atom. The uncorrected formation energy comes out at 1044 meV per atom.


Entry from Alexandria: a relaxed structure of Tb2Mn3Al (PBE).

It has space group R-3m (No. 166, hexagonal axes), with a = 5.4513 Å, b = 5.4513 Å, c = 12.8750 Å, α = 90.00°, β = 90.00° and γ = 120.00°. The inequivalent atoms are Tb at (0.0000, 0.0000, 0.1242), Mn at (0.0000, 0.5000, 0.0000) and Al at (0.0000, 0.0000, 0.5000).

For the calculated density, the calculation gives 7.7 g/cm³. Its magnetic moment is 1.279 μB per atom. Its calculated total energy is -6.7471 eV per atom. Its formation energy is 0.00 eV per atom.


Entry from Alexandria: a relaxed structure of CdIrPt2 (PBE).

It has space group I-4m2 (No. 119), with a = 4.047 Å, b = 4.047 Å, c = 7.940 Å, α = 90.00°, β = 90.00° and γ = 90.00°. The inequivalent atoms are Cd at (0.000, 0.000, 0.000), Ir at (0.000, 0.500, 0.750), Pt at (0.000, 0.000, 0.500) and Pt at (0.000, 0.500, 0.250).

For the calculated density, the calculation gives 17.7 g/cm³. Its magnetic moment is 0.000 μB per atom. Its calculated total energy is -5.4016 eV per atom. Its formation energy is 0.06 eV per atom.


Entry from Alexandria: a relaxed structure of ErSeCl (PBE).

It has space group R-3 (No. 148, hexagonal axes), with a = 11.3170 Å, b = 11.3170 Å, c = 15.1046 Å, α = 90.00°, β = 90.00° and γ = 120.00°. The inequivalent atoms are Er at (0.0503, 0.7697, 0.1113), Se at (0.0464, 0.7921, 0.9184) and Cl at (0.0842, 0.5645, 0.0892).

For the calculated density, the calculation gives 5.0 g/cm³. Its magnetic moment is 0.000 μB per atom. Its calculated total energy is -5.2280 eV per atom. The uncorrected formation energy comes out at -1930 meV per atom.


Entry from Alexandria: a relaxed structure of GdHgGePb (PBE).

It has space group F-43m (No. 216), with a = 7.446 Å, b = 7.446 Å, c = 7.446 Å, α = 90.00°, β = 90.00° and γ = 90.00°. The inequivalent atoms are Gd at (0.000, 0.000, 0.000), Hg at (0.250, 0.250, 0.750), Ge at (0.250, 0.250, 0.250) and Pb at (0.000, 0.000, 0.500).

For the calculated density, the calculation gives 10.3 g/cm³. Its magnetic moment is 1.797 μB per atom. Its calculated total energy is -5.9184 eV per atom. Its formation energy is -0.24 eV per atom.


Entry from Alexandria: a relaxed structure of BaPu2InAs4 (PBE).

It has space group Cmcm (No. 63), with a = 4.303 Å, b = 14.509 Å, c = 14.369 Å, α = 90.00°, β = 90.00° and γ = 90.00°. The inequivalent atoms are Ba at (0.000, 0.122, 0.250), Pu at (0.000, 0.373, 0.056), In at (0.000, 0.153, 0.750), As at (0.000, 0.000, 0.000), As at (0.000, 0.260, 0.604) and As at (0.000, 0.453, 0.250).

For the calculated density, the calculation gives 7.7 g/cm³. Its magnetic moment is 1.124 μB per atom. Its calculated total energy is -7.2668 eV per atom. Its formation energy is -0.78 eV per atom.


Entry from Alexandria: a relaxed structure of ZnRe2PdAu (PBE).

It has space group P4/mmm (No. 123), with a = 4.767 Å, b = 4.767 Å, c = 4.561 Å, α = 90.00°, β = 90.00° and γ = 90.00°. The inequivalent atoms are Zn at (0.000, 0.000, 0.000), Re at (0.000, 0.500, 0.500), Pd at (0.000, 0.000, 0.500) and Au at (0.500, 0.500, 0.000).

For the calculated density, the calculation gives 11.9 g/cm³. Its magnetic moment is 0.588 μB per atom. Its calculated total energy is -5.0129 eV per atom. Its formation energy is 1.92 eV per atom.